1.
An optimized crystal structure of ZrAgMo2, computed with GGA-PBE.

For the total energy, the calculation gives -7.872 eV/atom. Its space-group type is No. 160. As for the formation energy: 393 meV per atom. The distance to the lowest polymorph of the same formula is 1.05 eV per formula unit. The value obtained for the total magnetization is 0.0 μB per formula unit.

Geometry as POSCAR:
```
ZrAgMo2
1.0
2.840 0.000 0.000
-1.420 2.460 0.000
0.000 0.000 30.634
Zr Ag Mo
3 3 6
Cartesian
0.000 0.000 0.000
0.000 1.640 20.423
1.420 0.820 10.211
0.000 0.000 7.547
0.000 1.640 27.970
1.420 0.820 17.759
0.000 0.000 15.276
0.000 0.000 23.089
0.000 1.640 5.065
0.000 1.640 12.878
1.420 0.820 2.666
1.420 0.820 25.488
```

***

2.
An optimized crystal structure of ZrAg2Mo, computed with GGA-PBE.

For the total energy, the calculation gives -6.000 eV/atom. Its space-group type is No. 12. As for the formation energy: 270 meV per atom. The distance to the lowest polymorph of the same formula is 0.38 eV per formula unit. The value obtained for the total magnetization is 0.0 μB per formula unit.

Geometry as POSCAR:
```
ZrAg2Mo
1.0
5.543 0.000 0.000
0.000 9.884 0.000
-0.780 0.000 2.647
Zr Ag Mo
2 4 2
Cartesian
0.000 0.000 0.000
2.771 4.942 0.000
0.996 2.471 1.323
0.996 7.413 1.323
3.767 2.471 1.323
3.767 7.413 1.323
0.000 4.942 0.000
2.771 0.000 0.000
```

***

3.
An optimized crystal structure of ZrAgMo4, computed with GGA-PBE.

For the total energy, the calculation gives -8.850 eV/atom. Its space-group type is No. 216. As for the formation energy: 270 meV per atom. The value obtained for the total magnetization is 0.0 μB per formula unit.

Geometry as POSCAR:
```
ZrAgMo4
1.0
0.000 3.767 3.767
3.767 0.000 3.767
3.767 3.767 0.000
Zr Ag Mo
1 1 4
Cartesian
0.000 0.000 0.000
1.883 1.883 1.883
4.706 2.828 2.828
2.828 4.706 2.828
2.828 2.828 4.706
4.706 4.706 4.706
```